Entry 1:
Ca2Zn5IrPd2 | PBE | optimized geometry

```
Ca2Zn5IrPd2
1.0
-2.4111 1.8377 2.3193
-6.3365 0.8528 -7.2628
-4.0149 -8.4378 2.5120
Ca Zn Ir Pd
4 10 2 4
direct
0.0000 0.6778 0.1778
0.0000 0.3222 0.8222
0.0000 0.1778 0.3222
0.0000 0.8222 0.6778
0.5000 0.1884 0.0556
0.5000 0.8116 0.9444
0.5000 0.0556 0.8116
0.5000 0.6884 0.4444
0.5000 0.9444 0.1884
0.5000 0.3116 0.5556
0.5000 0.5556 0.6884
0.5000 0.4444 0.3116
0.5000 0.5000 0.0000
0.5000 0.0000 0.5000
0.0000 0.0000 0.0000
0.0000 0.5000 0.5000
0.0000 0.1224 0.6224
0.0000 0.8776 0.3776
0.0000 0.6224 0.8776
0.0000 0.3776 0.1224
```

Computed properties:
ρ: 7.55 Mg/m³
Total DFT energy (no corrections): -66.8 eV/cell

***

Entry 2:
CaPm2Ir | PBE | optimized geometry

```
CaPm2Ir
1.0
6.4552 -0.0002 0.0000
-0.0002 6.9537 -0.0028
0.0000 0.0059 11.9815
Ca Pm Ir
4 8 4
direct
0.2499 0.5680 0.2500
0.7501 0.4320 0.7500
0.7499 0.9320 0.2500
0.2501 0.0680 0.7500
0.7384 0.9185 0.9183
0.2616 0.0815 0.0817
0.2384 0.5816 0.5817
0.7616 0.4184 0.4183
0.7383 0.4184 0.0818
0.2617 0.5816 0.9182
0.2383 0.0816 0.4182
0.7617 0.9184 0.5818
0.0000 0.2500 0.5854
0.0000 0.7500 0.4146
0.5000 0.2500 0.9146
0.5000 0.7500 0.0854
```

Computed properties:
ρ: 6.45 Mg/m³
Polymorph energy (0 for the lowest one): 53 meV per atom

***

Entry 3:
CaPm12Ir4 | PBE | optimized geometry

```
CaPm12Ir4
1.0
9.0766 0.0000 0.0000
-3.0255 8.5575 0.0000
-3.0255 -4.2787 7.4110
Ca Pm Ir
1 12 4
direct
0.0000 0.0000 0.0000
0.8245 0.3159 0.1404
0.3159 0.4914 0.1755
0.8596 0.1755 0.6841
0.3159 0.1404 0.8245
0.1404 0.8245 0.3159
0.6841 0.5086 0.8245
0.4914 0.1755 0.3159
0.5086 0.8245 0.6841
0.6841 0.8596 0.1755
0.8245 0.6841 0.5086
0.1755 0.3159 0.4914
0.1755 0.6841 0.8596
0.0000 0.5000 0.0000
0.5000 0.0000 0.0000
0.5000 0.5000 0.5000
0.0000 0.0000 0.5000
```

Computed properties:
ρ: 7.35 Mg/m³
Total DFT energy (no corrections): -99.2 eV/cell

***

Entry 4:
CaPm2Ir | PBE | optimized geometry

```
CaPm2Ir
1.0
3.5934 0.0000 0.0000
0.0000 3.5934 0.0000
0.0000 0.0000 9.6455
Ca Ir Pm
1 1 2
direct
0.5000 0.5000 0.5000
0.5000 0.5000 0.0000
0.0000 0.0000 0.8301
0.0000 0.0000 0.1699
```

Computed properties:
ρ: 6.96 Mg/m³
Polymorph energy (0 for the lowest one): 93 meV per atom

***

Entry 5:
CaPmIr | PBE | optimized geometry

```
CaPmIr
1.0
-4.6808 0.9589 -3.3378
-2.8107 -7.0765 -6.0640
-7.5178 -6.1240 0.8110
Ca Ir Pm
4 4 4
direct
0.1101 0.7191 0.9689
0.8900 0.7808 0.5312
0.8899 0.2809 0.0311
0.1100 0.2192 0.4688
0.1307 0.3916 0.6417
0.1306 0.8917 0.1417
0.8693 0.6083 0.3583
0.8694 0.1083 0.8583
0.5055 0.4552 0.7055
0.5055 0.9553 0.2054
0.4945 0.5448 0.2945
0.4945 0.0447 0.7946
```

Computed properties:
ρ: 6.83 Mg/m³
Polymorph energy (0 for the lowest one): 61 meV per atom

***

Entry 6:
CaPmIr | PBE | optimized geometry

```
CaPmIr
1.0
-3.7798 2.2127 -1.1982
-3.9909 -2.7986 7.4212
2.5401 6.3822 3.7728
Ca Pm Ir
4 4 4
direct
0.2500 0.8343 0.4781
0.7500 0.3343 0.0219
0.2500 0.6657 0.9781
0.7500 0.1657 0.5219
0.7500 0.9271 0.1495
0.7500 0.5729 0.6495
0.2500 0.0729 0.8505
0.2500 0.4271 0.3505
0.7500 0.6138 0.2782
0.7500 0.8862 0.7782
0.2500 0.1138 0.2218
0.2500 0.3862 0.7218
```

Computed properties:
ρ: 7.93 Mg/m³
Polymorph energy (0 for the lowest one): 0 meV per atom